(1)
The following is a DFT calculation (PBE) of a relaxed structure of HfZnPt.

Cell: 4.388 4.388 4.388 Å, 60.00 60.00 60.00°
Element x y z (fractional)
Hf (0.250, 0.250, 0.250)
Zn (0.750, 0.750, 0.750)
Pt (0.000, 0.000, 0.000)

Size of the total moment (μB/atom): 0.149
Symmetry: No. 216
Crystal system: cubic
VASP energy (eV/atom): -6.364

---

(2)
The following is a DFT calculation (PBE) of a relaxed structure of HfZnPt.

Cell: 4.952 4.952 4.952 Å, 139.35 139.35 58.84°
Element x y z (fractional)
Pt (0.668, 0.668, 0.000)
Hf (0.003, 0.003, 0.000)
Zn (0.329, 0.329, 0.000)

Size of the total moment (μB/atom): 0.001
Symmetry: No. 107
Crystal system: tetragonal
VASP energy (eV/atom): -6.440

---

(3)
The following is a DFT calculation (PBE) of a relaxed structure of Hf2ZnPt3.

Cell: 3.486 3.486 8.539 Å, 90.00 90.00 90.00°
Element x y z (fractional)
Pt (0.000, 0.000, 0.146)
Pt (0.500, 0.500, 0.682)
Pt (0.500, 0.500, 0.344)
Zn (0.000, 0.000, 0.824)
Hf (0.500, 0.500, 0.012)
Hf (0.000, 0.000, 0.493)

Size of the total moment (μB/atom): 0.001
Symmetry: No. 99
Crystal system: tetragonal
VASP energy (eV/atom): -7.549

---

(4)
The following is a DFT calculation (PBE) of a relaxed structure of HfZr2Pt.

Cell: 4.792 4.792 4.792 Å, 60.00 60.00 60.00°
Last column: magnetic moment on the atom in μB.
Element x y z (fractional)
Zr (0.250, 0.250, 0.250)  0.30
Hf (0.500, 0.500, 0.500)  0.08
Pt (0.750, 0.750, 0.750)  0.03
Zr (0.000, 0.000, 0.000)  0.08

Size of the total moment (μB/atom): 0.164
Symmetry: No. 216
Crystal system: cubic
VASP energy (eV/atom): -8.665

---

(5)
The following is a DFT calculation (PBE) of a relaxed structure of HfZrPt.

Cell: 3.340 3.340 10.620 Å, 90.00 90.00 90.00°
Element x y z (fractional)
Zr (0.500, 0.500, 0.159)
Hf (0.000, 0.000, 0.654)
Pt (0.000, 0.000, 0.000)
Pt (0.500, 0.500, 0.500)
Zr (0.500, 0.500, 0.841)
Hf (0.000, 0.000, 0.346)

Size of the total moment (μB/atom): 0.002
Relative energy among the computed polymorphs (eV/atom): 0.000
Symmetry: No. 123
Crystal system: tetragonal
VASP energy (eV/atom): -8.936

---

(6)
The following is a DFT calculation (PBE) of a relaxed structure of Hf2ZrPt.

Cell: 4.794 4.794 4.794 Å, 60.00 60.00 60.00°
Last column: magnetic moment on the atom in μB.
Element x y z (fractional)
Zr (0.000, 0.000, 0.000)  0.02
Hf (0.500, 0.500, 0.500)  0.02
Pt (0.750, 0.750, 0.750)  0.01
Hf (0.250, 0.250, 0.250)  0.05

Size of the total moment (μB/atom): 0.034
Symmetry: No. 216
Crystal system: cubic
VASP energy (eV/atom): -8.964

---

(7)
The following is a DFT calculation (PBE) of a relaxed structure of HfZr2Pt2.

Cell: 7.570 7.570 3.470 Å, 90.00 90.00 90.00°
Element x y z (fractional)
Pt (0.631, 0.869, 0.000)
Hf (0.500, 0.500, 0.000)
Zr (0.830, 0.670, 0.500)
Zr (0.330, 0.830, 0.500)
Hf (0.000, 0.000, 0.000)
Zr (0.670, 0.170, 0.500)
Zr (0.170, 0.330, 0.500)
Pt (0.369, 0.131, 0.000)
Pt (0.131, 0.631, 0.000)
Pt (0.869, 0.369, 0.000)

Size of the total moment (μB/atom): 0.011
Symmetry: No. 127
Crystal system: tetragonal
VASP energy (eV/atom): -8.673

---

(8)
The following is a DFT calculation (PBE) of a relaxed structure of HfZrPt2.

Cell: 4.626 4.626 4.626 Å, 60.00 60.00 60.00°
Element x y z (fractional)
Pt (0.000, 0.000, 0.000)
Zr (0.750, 0.750, 0.750)
Pt (0.250, 0.250, 0.250)
Hf (0.500, 0.500, 0.500)

Size of the total moment (μB/atom): 0.000
Symmetry: No. 216
Crystal system: cubic
VASP energy (eV/atom): -8.427

---

(9)
The following is a DFT calculation (PBE) of a relaxed structure of HfZrPt2.

Cell: 9.897 9.897 4.376 Å, 90.00 90.00 159.45°
Element x y z (fractional)
Pt (0.667, 0.333, 0.750)
Zr (0.193, 0.807, 0.250)
Zr (0.807, 0.193, 0.750)
Pt (0.558, 0.442, 0.250)
Hf (0.060, 0.940, 0.750)
Pt (0.333, 0.667, 0.250)
Hf (0.940, 0.060, 0.250)
Pt (0.442, 0.558, 0.750)

Size of the total moment (μB/atom): 0.001
Symmetry: No. 63
Crystal system: orthorhombic
VASP energy (eV/atom): -8.667

---

(10)
The following is a DFT calculation (PBE) of a relaxed structure of HfZr3Pt2.

Cell: 3.353 3.353 10.640 Å, 90.00 90.00 90.00°
Element x y z (fractional)
Pt (0.500, 0.500, 0.996)
Zr (0.500, 0.500, 0.659)
Hf (0.000, 0.000, 0.846)
Pt (0.000, 0.000, 0.500)
Zr (0.000, 0.000, 0.155)
Zr (0.500, 0.500, 0.345)

Size of the total moment (μB/atom): 0.001
Symmetry: No. 99
Crystal system: tetragonal
VASP energy (eV/atom): -8.689

---

(11)
The following is a DFT calculation (PBE) of a relaxed structure of HfZrPt2.

Cell: 4.306 5.453 5.453 Å, 36.48 90.00 90.00°
Element x y z (fractional)
Zr (0.500, 0.858, 0.858)
Hf (0.000, 0.142, 0.142)
Pt (0.000, 0.408, 0.408)
Pt (0.500, 0.592, 0.592)

Size of the total moment (μB/atom): 0.001
Symmetry: No. 38
Crystal system: orthorhombic
VASP energy (eV/atom): -8.771

---

(12)
The following is a DFT calculation (PBE) of a relaxed structure of HfZrPt.

Cell: 4.572 4.572 4.572 Å, 60.00 60.00 60.00°
Element x y z (fractional)
Hf (0.250, 0.250, 0.250)
Pt (0.000, 0.000, 0.000)
Zr (0.750, 0.750, 0.750)

Size of the total moment (μB/atom): 0.002
Relative energy among the computed polymorphs (eV/atom): 0.223
Symmetry: No. 216
Crystal system: cubic
VASP energy (eV/atom): -8.713

---

(13)
The following is a DFT calculation (PBE) of a relaxed structure of PuHf.

Cell: 3.985 3.985 3.985 Å, 60.00 60.00 60.00°
Last column: magnetic moment on the atom in μB.
Element x y z (fractional)
Pu (0.500, 0.500, 0.500)  5.27
Hf (0.000, 0.000, 0.000)  0.54

Size of the total moment (μB/atom): 2.994
Relative energy among the computed polymorphs (eV/atom): 0.953
Symmetry: No. 225
Crystal system: cubic
VASP energy (eV/atom): -10.852

---

(14)
The following is a DFT calculation (PBE) of a relaxed structure of Pu2Hf.

Cell: 8.968 8.968 8.968 Å, 60.00 60.00 60.00°
Last column: magnetic moment on the atom in μB.
Element x y z (fractional)
Pu (0.375, 0.375, 0.375)  5.82
Hf (0.500, 0.500, 0.500)  0.77
Pu (0.375, 0.375, 0.875)  5.92
Pu (0.875, 0.375, 0.375)  5.38
Pu (0.375, 0.875, 0.375)  5.87
Hf (0.250, 0.250, 0.250)  0.77

Size of the total moment (μB/atom): 4.426
Symmetry: No. 227
Crystal system: cubic
VASP energy (eV/atom): -10.190

---

(15)
The following is a DFT calculation (PBE) of a relaxed structure of PuHf.

Cell: 2.955 2.956 5.390 Å, 90.00 90.00 119.99°
Last column: magnetic moment on the atom in μB.
Element x y z (fractional)
Pu (0.333, 0.667, 0.250)  4.44
Hf (0.667, 0.333, 0.750)  -0.15

Size of the total moment (μB/atom): 2.153
Relative energy among the computed polymorphs (eV/atom): 0.000
Symmetry: No. 187
Crystal system: hexagonal
VASP energy (eV/atom): -11.805

---

(16)
The following is a DFT calculation (PBE) of a relaxed structure of PuHf.

Cell: 4.414 4.414 4.414 Å, 60.00 60.00 60.00°
Last column: magnetic moment on the atom in μB.
Element x y z (fractional)
Pu (0.250, 0.250, 0.250)  5.13
Hf (0.000, 0.000, 0.000)  0.23

Size of the total moment (μB/atom): 2.665
Relative energy among the computed polymorphs (eV/atom): 1.811
Symmetry: No. 216
Crystal system: cubic
VASP energy (eV/atom): -9.994

---

(17)
The following is a DFT calculation (PBE) of a relaxed structure of PuHfSb.

Cell: 4.842 4.842 4.842 Å, 60.00 60.00 60.00°
Last column: magnetic moment on the atom in μB.
Element x y z (fractional)
Hf (0.000, 0.000, 0.000)  0.88
Pu (0.250, 0.250, 0.250)  5.64
Sb (0.500, 0.500, 0.500)  -0.02

Size of the total moment (μB/atom): 2.354
Symmetry: No. 216
Crystal system: cubic
VASP energy (eV/atom): -8.907

---

(18)
The following is a DFT calculation (PBE) of a relaxed structure of SmPuHf.

Cell: 4.969 4.969 4.969 Å, 60.00 60.00 60.00°
Element x y z (fractional)
Hf (0.000, 0.000, 0.000)
Pu (0.250, 0.250, 0.250)
Sm (0.750, 0.750, 0.750)

Size of the total moment (μB/atom): 1.973
Relative energy among the computed polymorphs (eV/atom): 0.000
Symmetry: No. 216
Crystal system: cubic
VASP energy (eV/atom): -8.717

---

(19)
The following is a DFT calculation (PBE) of a relaxed structure of PuHfSn.

Cell: 4.882 4.882 4.882 Å, 60.00 60.00 60.00°
Element x y z (fractional)
Pu (0.250, 0.250, 0.250)
Sn (0.750, 0.750, 0.750)
Hf (0.000, 0.000, 0.000)

Size of the total moment (μB/atom): 2.013
Relative energy among the computed polymorphs (eV/atom): 0.000
Symmetry: No. 216
Crystal system: cubic
VASP energy (eV/atom): -9.072

---

(20)
The following is a DFT calculation (PBE) of a relaxed structure of SrPuHf.

Cell: 5.376 5.376 5.376 Å, 60.00 60.00 60.00°
Last column: magnetic moment on the atom in μB.
Element x y z (fractional)
Hf (0.500, 0.500, 0.500)  0.66
Sr (0.000, 0.000, 0.000)  0.10
Pu (0.250, 0.250, 0.250)  5.79

Size of the total moment (μB/atom): 2.512
Relative energy among the computed polymorphs (eV/atom): 0.000
Symmetry: No. 216
Crystal system: cubic
VASP energy (eV/atom): -7.303

---

(21)
The following is a DFT calculation (PBE) of a relaxed structure of PuHfTa.

Cell: 4.602 4.602 4.602 Å, 60.00 60.00 60.00°
Element x y z (fractional)
Ta (0.750, 0.750, 0.750)
Hf (0.000, 0.000, 0.000)
Pu (0.250, 0.250, 0.250)

Size of the total moment (μB/atom): 1.463
Relative energy among the computed polymorphs (eV/atom): 0.000
Symmetry: No. 216
Crystal system: cubic
VASP energy (eV/atom): -11.031

---

(22)
The following is a DFT calculation (PBE) of a relaxed structure of PuHfTe.

Cell: 4.903 4.903 4.903 Å, 60.00 60.00 60.00°
Element x y z (fractional)
Hf (0.250, 0.250, 0.250)
Te (0.000, 0.000, 0.000)
Pu (0.750, 0.750, 0.750)

Size of the total moment (μB/atom): 2.283
Symmetry: No. 216
Crystal system: cubic
VASP energy (eV/atom): -9.039

---

(23)
The following is a DFT calculation (PBE) of a relaxed structure of PuHfTl.

Cell: 4.813 4.813 4.813 Å, 60.00 60.00 60.00°
Element x y z (fractional)
Tl (0.750, 0.750, 0.750)
Hf (0.000, 0.000, 0.000)
Pu (0.250, 0.250, 0.250)

Size of the total moment (μB/atom): 2.261
Relative energy among the computed polymorphs (eV/atom): 0.000
Symmetry: No. 216
Crystal system: cubic
VASP energy (eV/atom): -8.214

---

(24)
The following is a DFT calculation (PBE) of a relaxed structure of PuHfW.

Cell: 4.559 4.559 4.559 Å, 60.00 60.00 60.00°
Last column: magnetic moment on the atom in μB.
Element x y z (fractional)
Pu (0.500, 0.500, 0.500)  4.73
W (0.250, 0.250, 0.250)  -0.51
Hf (0.000, 0.000, 0.000)  -0.04

Size of the total moment (μB/atom): 1.414
Relative energy among the computed polymorphs (eV/atom): 0.000
Symmetry: No. 216
Crystal system: cubic
VASP energy (eV/atom): -11.784

---

(25)
The following is a DFT calculation (PBE) of a relaxed structure of RbHf2.

Cell: 5.746 5.746 5.746 Å, 90.00 90.00 90.00°
Last column: magnetic moment on the atom in μB.
Element x y z (fractional)
Hf (0.166, 0.834, 0.500)  0.16
Hf (0.334, 0.334, 0.000)  0.20
Hf (0.834, 0.166, 0.500)  0.16
Rb (0.500, 0.500, 0.500)  0.01
Rb (0.000, 0.000, 0.000)  0.01
Hf (0.666, 0.666, 0.000)  0.20

Size of the total moment (μB/atom): 0.159
Symmetry: No. 136
Crystal system: tetragonal
VASP energy (eV/atom): -4.538

---

(26)
The following is a DFT calculation (PBE) of a relaxed structure of RbHf8.

Cell: 13.073 12.684 6.294 Å, 79.33 72.44 28.23°
Element x y z (fractional)
Hf (0.317, 0.451, 0.891)
Hf (0.891, 0.342, 0.317)
Hf (0.042, 0.544, 0.703)
Hf (0.539, 0.547, 0.706)
Hf (0.547, 0.539, 0.208)
Hf (0.451, 0.317, 0.342)
Rb (0.250, 0.250, 0.250)
Rb (0.000, 0.000, 0.000)
Hf (0.208, 0.706, 0.547)
Hf (0.544, 0.042, 0.711)
Hf (0.359, 0.908, 0.933)
Hf (0.933, 0.799, 0.359)
Hf (0.342, 0.891, 0.451)
Hf (0.908, 0.359, 0.799)
Hf (0.706, 0.208, 0.539)
Hf (0.799, 0.933, 0.908)
Hf (0.711, 0.703, 0.544)
Hf (0.703, 0.711, 0.042)

Size of the total moment (μB/atom): 0.001
Symmetry: No. 70
Crystal system: orthorhombic
VASP energy (eV/atom): -8.223

---

(27)
The following is a DFT calculation (PBE) of a relaxed structure of RbHf.

Cell: 6.658 6.658 5.229 Å, 90.00 90.00 120.00°
Element x y z (fractional)
Hf (0.000, 0.000, 0.000)
Rb (0.333, 0.667, 0.250)
Rb (0.667, 0.333, 0.750)
Hf (0.000, 0.000, 0.500)

Size of the total moment (μB/atom): 0.006
Relative energy among the computed polymorphs (eV/atom): 0.320
Symmetry: No. 194
Crystal system: hexagonal
VASP energy (eV/atom): -3.946

---

(28)
The following is a DFT calculation (PBE) of a relaxed structure of RbHf.

Cell: 3.272 3.272 6.907 Å, 90.00 90.00 120.00°
Last column: magnetic moment on the atom in μB.
Element x y z (fractional)
Rb (0.333, 0.667, 0.250)  0.04
Hf (0.667, 0.333, 0.750)  0.46

Size of the total moment (μB/atom): 0.467
Relative energy among the computed polymorphs (eV/atom): 0.000
Symmetry: No. 187
Crystal system: hexagonal
VASP energy (eV/atom): -4.266

---

(29)
The following is a DFT calculation (PBE) of a relaxed structure of RbHf2.

Cell: 6.404 6.404 6.404 Å, 60.00 60.00 60.00°
Last column: magnetic moment on the atom in μB.
Element x y z (fractional)
Hf (0.625, 0.125, 0.625)  0.73
Hf (0.625, 0.625, 0.625)  0.72
Hf (0.125, 0.625, 0.625)  0.80
Hf (0.625, 0.625, 0.125)  0.66
Rb (0.000, 0.000, 0.000)  0.04
Rb (0.250, 0.250, 0.250)  0.04

Size of the total moment (μB/atom): 0.806
Symmetry: No. 227
Crystal system: cubic
VASP energy (eV/atom): -5.681

---

(30)
The following is a DFT calculation (PBE) of a relaxed structure of RbHf.

Cell: 5.617 5.617 6.064 Å, 90.00 90.00 120.00°
Last column: magnetic moment on the atom in μB.
Element x y z (fractional)
Hf (0.333, 0.667, 0.250)  0.86
Rb (0.000, 0.000, 0.000)  0.04
Rb (0.000, 0.000, 0.500)  0.04
Hf (0.667, 0.333, 0.750)  0.86

Size of the total moment (μB/atom): 0.792
Relative energy among the computed polymorphs (eV/atom): 1.311
Symmetry: No. 194
Crystal system: hexagonal
VASP energy (eV/atom): -2.955